## PmCd2In (PBE)

Data for an optimized crystal structure of PmCd2In.

Cell lengths 7.366, 7.366, 7.366 Å; angles 90.00, 90.00, 90.00 degrees
Space group Fm-3m (No. 225)
Asymmetric unit:
Pm 0.000 0.000 0.000
Cd 0.250 0.250 0.250
In 0.000 0.000 0.500

Total magnetic moment in μB/cell: 0.00
DOS at the Fermi energy in states/eV/f.u.: 2.74
Electronic total energy in eV for the cell shown: -41.59

=====

## Pr3SmMg6 (PBE)

Data for an optimized crystal structure of Pr3SmMg6.

Cell lengths 9.524, 5.368, 11.482 Å; angles 90.00, 105.37, 90.00 degrees
Space group P2_1/m (No. 11)
Asymmetric unit:
Pr 0.036 0.250 0.395
Pr 0.149 0.750 0.209
Pr 0.258 0.250 0.006
Sm 0.449 0.250 0.605
Mg 0.061 0.750 0.903
Mg 0.167 0.250 0.709
Mg 0.263 0.750 0.513
Mg 0.355 0.750 0.808
Mg 0.362 0.250 0.306
Mg 0.454 0.750 0.101

Total magnetic moment in μB/cell: 0.00
DOS at the Fermi energy in states/eV/f.u.: 9.11
Electronic total energy in eV for the cell shown: -59.03

=====

## AcTb4Ho7 (PBE)

Data for an optimized crystal structure of AcTb4Ho7.

Cell lengths 6.236, 7.216, 8.884 Å; angles 89.98, 76.28, 89.90 degrees
Space group P-1 (No. 2)
Asymmetric unit:
Ac 0.000 0.000 0.000
Tb 0.221 0.500 0.334
Tb 0.281 0.253 0.663
Ho 0.000 0.500 0.000
Ho 0.223 0.000 0.338
Ho 0.280 0.746 0.664
Ho 0.500 0.254 0.000

Total magnetic moment in μB/cell: 0.00
DOS at the Fermi energy in states/eV/f.u.: 17.91
Electronic total energy in eV for the cell shown: -54.48

=====

## CaPrGaPb (PBE)

Data for an optimized crystal structure of CaPrGaPb.

Cell lengths 7.692, 7.692, 7.692 Å; angles 90.00, 90.00, 90.00 degrees
Space group F-43m (No. 216)
Asymmetric unit:
Ca 0.000 0.000 0.000
Pr 0.000 0.000 0.500
Ga 0.250 0.250 0.750
Pb 0.250 0.250 0.250

Total magnetic moment in μB/cell: 0.00
DOS at the Fermi energy in states/eV/f.u.: 2.69
Electronic total energy in eV for the cell shown: -61.30